# 1
Compound: PrNd2Sm2Mg
Source: Alexandria via LeMat-Bulk
Functional: PBE
Structure: relaxed

ΔE_f (kJ/mol of atoms): 20.57

Cell: 3.465 6.207 19.041 Å, 90.00 90.00 90.00°
Fractional positions:
Nd 0.500 0.838 0.363
Nd 0.000 0.338 0.137
Nd 0.500 0.162 0.637
Nd 0.000 0.662 0.863
Mg 0.000 0.000 0.500
Mg 0.500 0.500 0.000
Sm 0.000 0.161 0.798
Sm 0.500 0.661 0.702
Sm 0.500 0.339 0.298
Sm 0.000 0.839 0.202
Pr 0.000 0.000 0.000
Pr 0.500 0.500 0.500

# 2
Compound: CaGa2H
Source: Alexandria via LeMat-Bulk
Functional: PBE
Structure: relaxed

E above lowest polymorph (meV/atom): 360.0

Cell: 4.819 4.819 4.819 Å, 60.00 60.00 60.00°
Fractional positions:
Ga 0.250 0.250 0.250
Ga 0.750 0.750 0.750
Ca 0.500 0.500 0.500
H 0.000 0.000 0.000

# 3
Compound: TaHgW2
Source: Alexandria via LeMat-Bulk
Functional: PBE
Structure: relaxed

ΔE_f (kJ/mol of atoms): 36.59

Cell: 2.805 2.805 9.444 Å, 90.00 90.00 107.55°
Fractional positions:
Ta 0.500 0.500 0.750
W 0.000 0.000 0.990
W 0.000 0.000 0.510
Hg 0.500 0.500 0.250

# 4
Compound: Na2SmAlH8
Source: Alexandria via LeMat-Bulk
Functional: PBE
Structure: relaxed

Raw total energy (eV per atom): -3.3681

Cell: 4.510 4.695 6.099 Å, 71.74 89.98 90.06°
Fractional positions:
H 0.255 0.855 0.856
H 0.745 0.145 0.144
H 0.501 0.213 0.497
H 0.499 0.787 0.503
H 0.748 0.851 0.857
H 0.252 0.149 0.143
H 0.999 0.326 0.738
H 0.001 0.674 0.262
Na 0.500 0.607 0.214
Na 0.500 0.393 0.786
Sm 0.000 0.000 0.500
Al 0.000 0.000 0.000